Entry 1:
{
  "formula": "YAsO2",
  "functional": "PBE",
  "state": "optimized geometry",
  "total_energy_ev_per_atom": -7.43,
  "total_magnetization_mub_per_fu": 0.0,
  "crystal_system": "trigonal",
  "formation_energy_uncorrected_ev_per_atom": -2.171,
  "cell": [[1.7152, 0.9903, 6.4035], [-1.7152, 0.9903, 6.4035], [0.0000, -1.9805, 6.4035]],
  "species": ["Y", "As", "O", "O"],
  "fractional_positions": [[0.0000, 0.0000, 0.0000], [0.5000, 0.5000, 0.5000], [0.3905, 0.3905, 0.3905], [0.6095, 0.6095, 0.6095]]
}


Entry 2:
{
  "formula": "Y3AsO3",
  "functional": "PBE",
  "state": "optimized geometry",
  "total_energy_ev_per_atom": -8.41,
  "total_magnetization_mub_per_fu": 0.0,
  "crystal_system": "trigonal",
  "formation_energy_uncorrected_ev_per_atom": -2.846,
  "cell": [[3.3251, 1.9198, 6.9094], [-3.3251, 1.9198, 6.9094], [0.0000, -3.8395, 6.9094]],
  "species": ["Y", "Y", "Y", "Y", "Y", "Y", "As", "As", "O", "O", "O", "O", "O", "O"],
  "fractional_positions": [[0.0419, 0.4071, 0.7579], [0.2421, 0.9581, 0.5929], [0.4071, 0.7579, 0.0419], [0.5929, 0.2421, 0.9581], [0.7579, 0.0419, 0.4071], [0.9581, 0.5929, 0.2421], [0.1669, 0.1669, 0.1669], [0.8331, 0.8331, 0.8331], [0.0726, 0.6896, 0.3660], [0.3104, 0.6340, 0.9274], [0.3660, 0.0726, 0.6896], [0.6340, 0.9274, 0.3104], [0.6896, 0.3660, 0.0726], [0.9274, 0.3104, 0.6340]]
}


Entry 3:
{
  "formula": "YAs3O",
  "functional": "PBE",
  "state": "optimized geometry",
  "total_energy_ev_per_atom": -4.02,
  "total_magnetization_mub_per_fu": 0.0,
  "e_above_lowest_polymorph_ev_per_atom": 1.565,
  "crystal_system": "cubic",
  "formation_energy_uncorrected_ev_per_atom": 1.058,
  "cell": [[5.3993, 0.0000, 0.0000], [0.0000, 5.3993, 0.0000], [0.0000, 0.0000, 5.3993]],
  "species": ["Y", "As", "As", "As", "O"],
  "fractional_positions": [[0.0000, 0.0000, 0.0000], [0.0000, 0.0000, 0.5000], [0.0000, 0.5000, 0.0000], [0.5000, 0.0000, 0.0000], [0.5000, 0.5000, 0.5000]]
}


Entry 4:
{
  "formula": "Y2AsO",
  "functional": "PBE",
  "state": "optimized geometry",
  "total_energy_ev_per_atom": -7.48,
  "total_magnetization_mub_per_fu": 0.0,
  "e_above_lowest_polymorph_ev_per_atom": 0.384,
  "crystal_system": "trigonal",
  "formation_energy_uncorrected_ev_per_atom": -1.845,
  "cell": [[2.1581, 1.2460, 7.0511], [-2.1581, 1.2460, 7.0511], [0.0000, -2.4920, 7.0511]],
  "species": ["Y", "Y", "As", "O"],
  "fractional_positions": [[0.0965, 0.0965, 0.0965], [0.9035, 0.9035, 0.9035], [0.5000, 0.5000, 0.5000], [0.0000, 0.0000, 0.0000]]
}


Entry 5:
{
  "formula": "Y4As3O",
  "functional": "PBE",
  "state": "optimized geometry",
  "total_energy_ev_per_atom": -7.38,
  "total_magnetization_mub_per_fu": 0.0,
  "crystal_system": "orthorhombic",
  "formation_energy_uncorrected_ev_per_atom": -1.789,
  "cell": [[11.2823, 0.0000, 0.0000], [0.0000, 5.7732, 0.0000], [0.0000, 0.0000, 5.7751]],
  "species": ["Y", "Y", "Y", "Y", "Y", "Y", "Y", "Y", "As", "As", "As", "As", "As", "As", "O", "O"],
  "fractional_positions": [[0.0000, 0.1814, 0.0000], [0.0000, 0.7475, 0.4308], [0.2468, 0.7520, 0.9998], [0.2532, 0.2480, 0.4998], [0.5000, 0.2525, 0.9308], [0.5000, 0.8186, 0.5000], [0.7468, 0.2480, 0.4998], [0.7532, 0.7520, 0.9998], [0.0000, 0.2475, 0.4993], [0.2499, 0.2526, 0.9994], [0.2501, 0.7474, 0.4994], [0.5000, 0.7525, 0.9993], [0.7501, 0.2526, 0.9994], [0.7499, 0.7474, 0.4994], [0.0000, 0.8070, 0.0566], [0.5000, 0.1930, 0.5566]]
}


Entry 6:
{
  "formula": "Y2AsO6",
  "functional": "PBE",
  "state": "optimized geometry",
  "total_energy_ev_per_atom": -7.59,
  "total_magnetization_mub_per_fu": 1.0,
  "crystal_system": "tetragonal",
  "formation_energy_uncorrected_ev_per_atom": -2.329,
  "cell": [[4.9272, 0.0000, 0.0000], [0.0000, 4.9272, 0.0000], [0.0000, 0.0000, 9.8987]],
  "species": ["Y", "Y", "Y", "Y", "As", "As", "O", "O", "O", "O", "O", "O", "O", "O", "O", "O", "O", "O"],
  "fractional_positions": [[0.0000, 0.0000, 0.1679], [0.0000, 0.0000, 0.8321], [0.5000, 0.5000, 0.3321], [0.5000, 0.5000, 0.6679], [0.0000, 0.0000, 0.5000], [0.5000, 0.5000, 0.0000], [0.1805, 0.1805, 0.3611], [0.1805, 0.1805, 0.6389], [0.2324, 0.2324, 0.0000], [0.2676, 0.7324, 0.5000], [0.3195, 0.6805, 0.1389], [0.3195, 0.6805, 0.8611], [0.6805, 0.3195, 0.1389], [0.6805, 0.3195, 0.8611], [0.7324, 0.2676, 0.5000], [0.7676, 0.7676, 0.0000], [0.8195, 0.8195, 0.3611], [0.8195, 0.8195, 0.6389]]
}